[1]
# Be3CoIr

An optimized crystal structure of Be3CoIr (PBE, the Alexandria database).

abc: 4.1408 4.1408 4.1408
angles: 90.00 90.00 90.00
Fractional positions:
1 Be 0.0000 0.0000 0.5000
2 Be 0.0000 0.5000 0.0000
3 Ir 0.0000 0.0000 0.0000
4 Be 0.5000 0.0000 0.0000
5 Co 0.5000 0.5000 0.5000

Summary:
polymorph energy (0 for the lowest one): 0.1427 eV per atom
formation energy from the elements: 642.2 meV per atom
symmetry: Pm-3m (221)


[2]
# VGa3Ni7

An optimized crystal structure of VGa3Ni7 (PBE, the Alexandria database).

abc: 4.6590 6.3135 6.3135
angles: 84.44 118.04 118.04
Fractional positions:
1 Ni 0.6659 0.4145 0.9306
2 Ni 0.3483 0.2044 0.2044
3 Ni 0.3341 0.5855 0.0694
4 Ga 0.5000 0.0000 0.0000
5 Ni 0.0000 0.5000 0.5000
6 Ga 0.0000 0.7771 0.2229
7 Ga 0.0000 0.2229 0.7771
8 Ni 0.6517 0.7956 0.7956
9 V 0.5000 0.5000 0.5000
10 Ni 0.6659 0.9306 0.4145
11 Ni 0.3341 0.0694 0.5855

Summary:
formation energy from the elements: -18.6 meV per atom
symmetry: C2/m (12)


[3]
# LaPmCd2

An optimized crystal structure of LaPmCd2 (PBE, the Alexandria database).

abc: 3.7007 3.7007 10.6032
angles: 79.95 79.95 60.00
Fractional positions:
1 Cd 0.2522 0.2522 0.2433
2 La 0.5000 0.5000 0.5000
3 Pm 0.0000 0.0000 0.0000
4 Cd 0.7478 0.7478 0.7567

Summary:
polymorph energy (0 for the lowest one): 0.1880 eV per atom
formation energy from the elements: -133.5 meV per atom
symmetry: R-3m (166)


[4]
# Pu3PaTe6

An optimized crystal structure of Pu3PaTe6 (PBE, the Alexandria database).

abc: 7.2594 8.3066 11.1764
angles: 90.00 91.67 90.00
Fractional positions:
1 Te 0.8383 0.9578 0.2446
2 Pa 0.5000 0.5000 0.5000
3 Te 0.1538 0.3293 0.4186
4 Te 0.3462 0.8293 0.0814
5 Te 0.3503 0.8245 0.4251
6 Pu 0.0000 0.0000 0.5000
7 Te 0.3383 0.5422 0.7446
8 Pu 0.9433 0.3716 0.7573
9 Te 0.6538 0.1707 0.9186
10 Te 0.8462 0.6707 0.5814
11 Pu 0.5567 0.8716 0.7427
12 Pa 0.0000 0.0000 0.0000
13 Te 0.6617 0.4578 0.2554
14 Te 0.8503 0.6755 0.9251
15 Te 0.6497 0.1755 0.5749
16 Pu 0.0567 0.6284 0.2427
17 Te 0.1617 0.0422 0.7554
18 Te 0.1497 0.3245 0.0749
19 Pu 0.5000 0.5000 0.0000
20 Pu 0.4433 0.1284 0.2573

Summary:
polymorph energy (0 for the lowest one): 0.0000 eV per atom
E_form (uncorrected): -930 meV per atom
symmetry: P2_1/c (14)


[5]
# La5YTm4

An optimized crystal structure of La5YTm4 (PBE, the Alexandria database).

abc: 4.1579 4.1579 19.6694
angles: 90.00 90.00 90.00
Fractional positions:
1 La 0.5000 0.5000 0.5000
2 Tm 0.0000 0.0000 0.4003
3 La 0.5000 0.5000 0.6989
4 La 0.5000 0.5000 0.3011
5 Tm 0.0000 0.0000 0.5997
6 Tm 0.0000 0.0000 0.7978
7 Tm 0.0000 0.0000 0.2022
8 La 0.5000 0.5000 0.8962
9 Y 0.0000 0.0000 0.0000
10 La 0.5000 0.5000 0.1038

Summary:
formation energy from the elements: 63.4 meV per atom
symmetry: P4/mmm (123)


[6]
# V2PRhPb

An optimized crystal structure of V2PRhPb (PBE, the Alexandria database).

abc: 4.2972 5.2071 4.2972
angles: 90.00 90.00 90.00
Fractional positions:
1 V 0.5000 0.0000 0.0000
2 Rh 0.5000 0.5000 0.5000
3 Pb 0.0000 0.5000 0.0000
4 V 0.0000 0.0000 0.5000
5 P 0.0000 0.0000 0.0000

Summary:
formation energy from the elements: 685.3 meV per atom
symmetry: P4/mmm (123)


[7]
# VGeRh2

An optimized crystal structure of VGeRh2 (PBE, the Alexandria database).

abc: 4.4590 4.5836 5.4778
angles: 90.00 90.00 90.00
Fractional positions:
1 Rh 0.5000 0.1910 0.2494
2 V 0.5000 0.6759 0.5000
3 Rh 0.0000 0.8090 0.2506
4 Rh 0.0000 0.8090 0.7494
5 Ge 0.0000 0.3079 0.5000
6 V 0.0000 0.3241 0.0000
7 Rh 0.5000 0.1910 0.7506
8 Ge 0.5000 0.6921 0.0000

Summary:
formation energy from the elements: -435.5 meV per atom
symmetry: Pmmn (59)


[8]
# ErBi2Ir

An optimized crystal structure of ErBi2Ir (PBE, the Alexandria database).

abc: 3.6520 3.6520 10.1472
angles: 79.63 79.63 60.00
Fractional positions:
1 Ir 0.5000 0.5000 0.5000
2 Bi 0.8938 0.8938 0.3185
3 Er 0.0000 0.0000 0.0000
4 Bi 0.1062 0.1062 0.6815

Summary:
formation energy from the elements: 164.5 meV per atom
symmetry: R-3m (166)


Copy entry 5 word for word.
# La5YTm4

An optimized crystal structure of La5YTm4 (PBE, the Alexandria database).

abc: 4.1579 4.1579 19.6694
angles: 90.00 90.00 90.00
Fractional positions:
1 La 0.5000 0.5000 0.5000
2 Tm 0.0000 0.0000 0.4003
3 La 0.5000 0.5000 0.6989
4 La 0.5000 0.5000 0.3011
5 Tm 0.0000 0.0000 0.5997
6 Tm 0.0000 0.0000 0.7978
7 Tm 0.0000 0.0000 0.2022
8 La 0.5000 0.5000 0.8962
9 Y 0.0000 0.0000 0.0000
10 La 0.5000 0.5000 0.1038

Summary:
formation energy from the elements: 63.4 meV per atom
symmetry: P4/mmm (123)


Repeat the fourth record exactly.
# Pu3PaTe6

An optimized crystal structure of Pu3PaTe6 (PBE, the Alexandria database).

abc: 7.2594 8.3066 11.1764
angles: 90.00 91.67 90.00
Fractional positions:
1 Te 0.8383 0.9578 0.2446
2 Pa 0.5000 0.5000 0.5000
3 Te 0.1538 0.3293 0.4186
4 Te 0.3462 0.8293 0.0814
5 Te 0.3503 0.8245 0.4251
6 Pu 0.0000 0.0000 0.5000
7 Te 0.3383 0.5422 0.7446
8 Pu 0.9433 0.3716 0.7573
9 Te 0.6538 0.1707 0.9186
10 Te 0.8462 0.6707 0.5814
11 Pu 0.5567 0.8716 0.7427
12 Pa 0.0000 0.0000 0.0000
13 Te 0.6617 0.4578 0.2554
14 Te 0.8503 0.6755 0.9251
15 Te 0.6497 0.1755 0.5749
16 Pu 0.0567 0.6284 0.2427
17 Te 0.1617 0.0422 0.7554
18 Te 0.1497 0.3245 0.0749
19 Pu 0.5000 0.5000 0.0000
20 Pu 0.4433 0.1284 0.2573

Summary:
polymorph energy (0 for the lowest one): 0.0000 eV per atom
E_form (uncorrected): -930 meV per atom
symmetry: P2_1/c (14)